Record 1
First-principles (PBE) data for Tm2LuZr after structural relaxation, as listed in Alexandria.

Magnetization   3.2 μB/cell
DOS at the Fermi energy   5.811 states/eV/cell
Offset from the most stable computed form   122 meV per atom
Energy relative to the elements   0.191 eV/atom
Crystal system   cubic

a b c (Å): 5.424 5.424 5.424
angles (deg): 60.00 60.00 60.00
Site moments in Bohr magnetons follow the coordinates.
Sites, in units of the cell vectors:
Tm 0.250 0.250 0.250  0.53
Tm 0.750 0.750 0.750  0.53
Zr 0.500 0.500 0.500  0.98
Lu 0.000 0.000 0.000  0.26

---

Record 2
First-principles (PBE) data for Ce8Te4Ir3Se after structural relaxation, as listed in Alexandria.

Uncorrected formation energy   -1.168 eV per atom
Magnetization   7.8 μB/cell
DOS at the Fermi energy   46.593 states/eV/cell
Crystal system   trigonal

a b c (Å): 8.450 8.836 8.450
angles (deg): 118.57 120.00 90.00
Site moments in Bohr magnetons follow the coordinates.
Sites, in units of the cell vectors:
Ce 0.275 0.287 0.031  0.82
Ce 0.264 0.293 0.529  0.67
Ce 0.736 0.707 0.471  0.67
Ce 0.756 0.287 0.513  0.82
Ce 0.725 0.713 0.969  0.82
Ce 0.244 0.713 0.487  0.82
Ce 0.244 0.713 0.969  0.82
Ce 0.756 0.287 0.031  0.82
Ir 0.500 0.500 0.500  -0.05
Ir 0.000 0.500 0.500  -0.05
Ir 0.500 0.500 0.000  -0.05
Te 0.500 0.000 0.500  -0.02
Te 0.000 0.000 0.000  -0.02
Te 0.500 0.000 0.000  -0.02
Te 0.000 0.000 0.500  -0.02
Se 0.000 0.500 0.000  -0.02

---

Record 3
First-principles (PBE) data for KScZn2 after structural relaxation, as listed in Alexandria.

Magnetization   0.0 μB/cell
DOS at the Fermi energy   2.164 states/eV/cell
Offset from the most stable computed form   192 meV per atom
Energy relative to the elements   0.184 eV/atom
Crystal system   monoclinic

a b c (Å): 5.451 5.451 6.435
angles (deg): 77.98 77.98 34.82
Sites, in units of the cell vectors:
Zn 0.291 0.291 0.181
Zn 0.980 0.980 0.972
Sc 0.710 0.710 0.881
K 0.519 0.519 0.466

---

Record 4
First-principles (PBE) data for AcAlIn2 after structural relaxation, as listed in Alexandria.

Magnetization   0.0 μB/cell
DOS at the Fermi energy   2.188 states/eV/cell
Offset from the most stable computed form   77 meV per atom
Energy relative to the elements   -0.282 eV/atom
Crystal system   tetragonal

a b c (Å): 4.924 4.778 4.778
angles (deg): 90.00 90.00 90.00
Sites, in units of the cell vectors:
Al 0.500 0.000 0.000
Ac 0.500 0.500 0.500
In 0.000 0.000 0.500
In 0.000 0.500 0.000

---

Record 5
First-principles (PBE) data for Nd2Al6Ni after structural relaxation, as listed in Alexandria.

Magnetization   0.0 μB/cell
DOS at the Fermi energy   5.607 states/eV/cell
Energy relative to the elements   -0.443 eV/atom
Crystal system   trigonal

a b c (Å): 5.569 6.037 6.037
angles (deg): 60.00 90.00 90.00
Sites, in units of the cell vectors:
Al 0.307 0.335 0.832
Al 0.693 0.168 0.168
Al 0.307 0.832 0.832
Al 0.307 0.832 0.335
Al 0.693 0.168 0.665
Al 0.693 0.665 0.168
Nd 0.179 0.333 0.333
Nd 0.821 0.667 0.667
Ni 0.000 0.000 0.000

---

DOS at the Fermi energy of number 4 (AcAlIn2)?
2.188 states/eV/cell

---

Which formula does entry 5 have?
Nd2Al6Ni

---

Which of these has the lowest DOS at the Fermi energy?
KScZn2